1.
DFT (PBE) results for Na2LiPbF6 after structural relaxation.

The structure in POSCAR format:
```
Na2LiPbF6
1.0
5.755 0.000 0.001
2.878 4.984 0.000
2.878 1.661 4.981
F Pb Na Li
6 1 2 1
Direct
0.594 0.196 0.256 F
0.196 0.954 0.256 F
0.116 0.430 0.768 F
0.430 0.686 0.768 F
0.686 0.116 0.768 F
0.954 0.594 0.256 F
0.814 0.814 0.557 Pb
0.529 0.529 0.413 Na
0.028 0.028 0.916 Na
0.314 0.314 0.058 Li
```

Output
Total DFT energy (no corrections) in eV per atom: -4.44
Calculated volume in Å³ per atom: 14.3
DOS(E_F) in states/eV/f.u.: 3.58
SG: R3 (146)
Formation energy from raw total energies in meV/atom: -2487

***

2.
DFT (PBE) results for SmTa2N4 after structural relaxation.

The structure in POSCAR format:
```
SmTa2N4
1.0
-1.611 -0.108 -2.717
-2.334 -3.497 3.361
-6.351 7.567 3.463
N Sm Ta
8 2 4
Direct
0.234 0.468 0.890 N
0.936 0.873 0.750 N
0.766 0.532 0.390 N
0.064 0.127 0.250 N
0.234 0.468 0.610 N
0.500 0.000 0.500 N
0.766 0.532 0.110 N
0.500 0.000 0.000 N
0.383 0.766 0.250 Sm
0.617 0.234 0.750 Sm
0.129 0.258 0.433 Ta
0.871 0.742 0.567 Ta
0.129 0.258 0.067 Ta
0.871 0.742 0.933 Ta
```

Output
Total DFT energy (no corrections) in eV per atom: -10.11
Calculated volume in Å³ per atom: 12.2
DOS(E_F) in states/eV/f.u.: 0.94
SG: Cmcm (63)
Formation energy from raw total energies in meV/atom: -1293

***

3.
DFT (PBE) results for InAgPd after structural relaxation.

The structure in POSCAR format:
```
InAgPd
1.0
-2.816 -1.553 -0.956
0.165 -1.968 2.712
-4.368 8.748 4.541
Ag In Pd
2 2 2
Direct
0.290 0.290 0.579 Ag
0.710 0.710 0.421 Ag
0.874 0.874 0.749 In
0.126 0.126 0.251 In
0.438 0.438 0.875 Pd
0.562 0.562 0.125 Pd
```

Output
Total DFT energy (no corrections) in eV per atom: -3.68
Relative energy among the computed polymorphs in meV/atom: 224
Calculated volume in Å³ per atom: 19.7
DOS(E_F) in states/eV/f.u.: 0.93
Formation enthalpy at 0 K in meV per atom: -86.6
SG: I4/mmm (139)

***

4.
DFT (PBE) results for LiTe2PbI after structural relaxation.

The structure in POSCAR format:
```
LiTe2PbI
1.0
-0.628 -1.277 4.852
5.014 -0.342 0.559
0.226 5.890 1.580
Te Li I Pb
2 1 1 1
Direct
0.500 0.000 0.000 Te
0.000 0.500 0.000 Te
0.000 0.000 0.000 Li
0.000 0.000 0.500 I
0.500 0.500 0.500 Pb
```

Output
Total DFT energy (no corrections) in eV per atom: -2.81
Relative energy among the computed polymorphs in meV/atom: 0
Calculated volume in Å³ per atom: 31.2
DOS(E_F) in states/eV/f.u.: 3.30
SG: P4/mmm (123)
Formation energy from raw total energies in meV/atom: -120

***

5.
DFT (PBE) results for TbCeHo2Sb4 after structural relaxation.

The structure in POSCAR format:
```
TbCeHo2Sb4
1.0
4.410 0.000 0.000
0.000 7.629 -0.154
0.000 2.682 7.149
Sb Ho Tb Ce
4 2 1 1
Direct
0.500 0.246 0.750 Sb
0.000 0.244 0.254 Sb
0.500 0.754 0.250 Sb
0.000 0.756 0.746 Sb
0.500 0.000 0.500 Ho
0.000 0.000 0.000 Ho
0.000 0.500 0.500 Tb
0.500 0.500 0.000 Ce
```

Output
Total DFT energy (no corrections) in eV per atom: -5.63
Calculated volume in Å³ per atom: 30.3
DOS(E_F) in states/eV/f.u.: 7.64
SG: P2/m (10)
Formation energy from raw total energies in meV/atom: -1104

***

6.
DFT (PBE) results for AgHOs2Pd after structural relaxation.

The structure in POSCAR format:
```
AgHOs2Pd
1.0
-3.062 0.158 4.057
-0.916 -2.707 -0.585
3.734 -1.888 2.891
Ag H Pd Os
1 1 1 2
Direct
0.500 0.500 0.500 Ag
0.000 0.500 0.000 H
0.000 0.000 0.000 Pd
0.500 0.000 0.000 Os
0.000 0.000 0.500 Os
```

Output
Total DFT energy (no corrections) in eV per atom: -5.23
Calculated volume in Å³ per atom: 15.1
DOS(E_F) in states/eV/f.u.: 5.92
SG: P4/mmm (123)

***

Which of these has the highest DOS(E_F)?
TbCeHo2Sb4